Entry 1:
This record from the Alexandria database describes a geometry-optimized RbCuSi2I structure. The functional is PBE-GGA.

Geometry as extended XYZ:
```
5
Lattice="4.5939 0.0000 0.0000 0.0000 4.5939 0.0000 0.0000 0.0000 7.8355" Properties=species:S:1:pos:R:3 pbc="T T T"
Rb 0.0000 0.0000 0.0000
Cu 0.0000 0.0000 3.9177
Si 0.0000 2.2969 3.9177
Si 2.2969 0.0000 3.9177
I 2.2969 2.2969 0.0000
```

Output
- Uncorrected energy: -3.25 eV/atom
- Crystal system: tetragonal
- Raw formation energy: 0.246 eV/atom
- V: 165 Å³ per cell

---

Entry 2:
This record from the Alexandria database describes a geometry-optimized RbCu2SnI6 structure. The functional is PBE-GGA.

Geometry as extended XYZ:
```
20
Lattice="7.0820 -7.3850 0.0000 7.0820 7.3850 0.0000 -0.8049 0.0000 7.7744" Properties=species:S:1:pos:R:3 pbc="T T T"
Rb 6.4783 6.0341 5.8308
Rb 6.8807 -6.0341 1.9436
Cu 3.9259 1.1742 5.4265
Cu 4.3284 -1.1742 1.5393
Cu 9.0306 1.1742 6.2351
Cu 9.4330 -1.1742 2.3479
Sn 6.8807 3.1305 1.9436
Sn 6.4783 -3.1305 5.8308
I 1.3460 1.7410 5.1985
I 4.6751 3.1138 6.9889
I 1.7485 -1.7410 1.3113
I 4.7337 1.0510 2.9383
I 8.2814 3.1138 4.6727
I 4.3312 -1.0510 6.8255
I 9.0278 1.0510 0.9489
I 5.0775 -3.1138 3.1017
I 8.6253 -1.0510 4.8362
I 11.6105 1.7410 6.4631
I 8.6839 -3.1138 0.7855
I 12.0129 -1.7410 2.5759
```

Output
- Uncorrected energy: -2.72 eV/atom
- Crystal system: monoclinic
- Raw formation energy: -0.476 eV/atom
- V: 813 Å³ per cell

---

Entry 3:
This record from the Alexandria database describes a geometry-optimized Rb3Cu2SnI9 structure. The functional is PBE-GGA.

Geometry as extended XYZ:
```
15
Lattice="8.1772 0.0000 0.0000 -4.0886 7.0817 0.0000 0.0000 0.0000 10.0962" Properties=species:S:1:pos:R:3 pbc="T T T"
Rb 0.0000 0.0000 0.0000
Rb 0.0000 4.7211 6.8459
Rb 4.0886 2.3606 3.2503
Cu 0.0000 4.7211 1.4848
Cu 4.0886 2.3606 8.6114
Sn 0.0000 0.0000 5.0481
I -2.0443 3.5408 0.0000
I 0.0000 2.4503 3.2908
I -1.9666 5.8565 3.2908
I 2.1220 1.2251 6.8054
I 4.0886 0.0000 0.0000
I 2.0443 3.5408 0.0000
I 1.9666 5.8565 3.2908
I 6.0552 1.2251 6.8054
I 4.0886 4.6314 6.8054
```

Output
- Uncorrected energy: -2.63 eV/atom
- Crystal system: trigonal
- Raw formation energy: -0.694 eV/atom
- V: 585 Å³ per cell

---

Entry 4:
This record from the Alexandria database describes a geometry-optimized RbCu4Sn3I12 structure. The functional is PBE-GGA.

Geometry as extended XYZ:
```
20
Lattice="8.0750 4.6621 3.9510 -8.0750 4.6621 3.9510 0.0000 -9.3242 3.9510" Properties=species:S:1:pos:R:3 pbc="T T T"
Rb 0.0000 0.0000 0.0000
Cu -3.4627 -5.9976 5.9265
Cu 0.0000 0.0000 5.9265
Cu -3.4627 5.9975 5.9265
Cu 6.9254 0.0000 5.9265
Sn -4.5150 -1.5040 3.9510
Sn 3.5600 -3.1581 3.9510
Sn 0.9550 4.6621 3.9510
I -5.0405 -4.0792 5.6238
I -6.6457 0.0000 5.9265
I -1.0125 -6.4048 6.2291
I -2.5186 0.0000 5.9265
I -5.0405 4.0792 6.2291
I 3.3229 -5.7554 5.9265
I 1.2593 -2.1812 5.9265
I -1.0125 6.4048 5.6238
I 1.2593 2.1812 5.9265
I 6.0530 -2.3256 5.6238
I 3.3229 5.7554 5.9265
I 6.0530 2.3256 6.2291
```

Output
- Uncorrected energy: -2.78 eV/atom
- Crystal system: trigonal
- Raw formation energy: -0.386 eV/atom
- V: 892 Å³ per cell

---

Entry 5:
This record from the Alexandria database describes a geometry-optimized RbCuSnI4 structure. The functional is PBE-GGA.

Geometry as extended XYZ:
```
14
Lattice="7.1868 0.0000 0.0000 0.0000 8.3187 0.0000 -3.4461 0.0000 9.4265" Properties=species:S:1:pos:R:3 pbc="T T T"
Rb 1.5369 2.0797 0.5040
Rb 2.2037 6.2390 8.9225
Cu 0.2527 6.2390 3.0266
Cu 3.4880 2.0797 6.3999
Sn -0.3547 2.0797 5.1815
Sn 4.0953 6.2390 4.2450
I -2.3035 4.2433 6.7999
I -2.3035 8.2348 6.7999
I 2.4380 6.2390 1.4756
I 1.2687 6.2390 5.4506
I 2.4719 2.0797 3.9759
I 1.3027 2.0797 7.9509
I 6.0442 0.0839 2.6266
I 6.0442 4.0754 2.6266
```

Output
- Uncorrected energy: -2.83 eV/atom
- Crystal system: monoclinic
- Raw formation energy: -0.653 eV/atom
- V: 564 Å³ per cell

---

Entry 6:
This record from the Alexandria database describes a geometry-optimized RbSrCuI4 structure. The functional is PBE-GGA.

Geometry as extended XYZ:
```
14
Lattice="7.4414 0.0000 0.0000 0.0000 8.1176 0.0000 -3.3388 0.0000 9.5007" Properties=species:S:1:pos:R:3 pbc="T T T"
Rb 1.5794 2.0294 0.5133
Rb 2.5231 6.0882 8.9874
Sr -0.1393 2.0294 5.3015
Sr 4.2418 6.0882 4.1992
Cu 0.5447 6.0882 3.0538
Cu 3.5579 2.0294 6.4469
I -2.2945 4.1030 6.8511
I -2.2945 8.0734 6.8511
I 2.5443 6.0882 1.3485
I 1.2988 6.0882 5.5706
I 2.8038 2.0294 3.9302
I 1.5582 2.0294 8.1523
I 6.3970 0.0442 2.6496
I 6.3970 4.0146 2.6496
```

Output
- Uncorrected energy: -3.04 eV/atom
- Crystal system: monoclinic
- Raw formation energy: -1.188 eV/atom
- V: 574 Å³ per cell

---

Entry 7:
This record from the Alexandria database describes a geometry-optimized Rb2SrCu2I6 structure. The functional is PBE-GGA.

Geometry as extended XYZ:
```
11
Lattice="7.0814 -4.2605 0.0000 7.0814 4.2605 0.0000 -4.3713 0.0000 8.3219" Properties=species:S:1:pos:R:3 pbc="T T T"
Rb 2.1795 0.0000 1.5456
Rb 7.6119 0.0000 6.7762
Sr -2.1856 0.0000 4.1609
Cu 3.2284 0.0000 6.1248
Cu 6.5630 0.0000 2.1971
I 5.3701 2.1632 1.6363
I 0.9649 0.0000 4.9946
I 4.4213 2.1632 6.6855
I 5.3701 -2.1632 1.6363
I 8.8265 0.0000 3.3273
I 4.4213 -2.1632 6.6855
```

Output
- Uncorrected energy: -2.94 eV/atom
- Crystal system: monoclinic
- Raw formation energy: -1.022 eV/atom
- V: 502 Å³ per cell

---

Entry 8:
This record from the Alexandria database describes a geometry-optimized Rb2TaCuI6 structure. The functional is PBE-GGA.

Geometry as extended XYZ:
```
10
Lattice="-4.0766 4.0766 5.7200 4.0766 -4.0766 5.7200 4.0766 4.0766 -5.7200" Properties=species:S:1:pos:R:3 pbc="T T T"
Rb 4.0766 0.0000 2.8600
Rb 0.0000 4.0766 2.8600
Ta 0.0000 0.0000 0.0000
Cu 0.0000 0.0000 5.7200
I 2.0209 2.0209 0.0000
I 2.0557 -2.0557 5.7200
I 0.0000 0.0000 2.8609
I 0.0000 0.0000 8.5791
I -2.0557 2.0557 5.7200
I 2.0557 2.0557 5.7200
```

Output
- Uncorrected energy: -3.32 eV/atom
- Crystal system: tetragonal
- Raw formation energy: -0.602 eV/atom
- V: 380 Å³ per cell